(1)
BiHI3: single point on PBEsol structure, meta-GGA SCAN.

Output
**VASP energy**: -38.167 eV/atom

a = 6.052 Å, b = 6.052 Å, c = 6.052 Å
α = 90.00°, β = 90.00°, γ = 90.00°
Space group Pm-3m (No. 221)
One atom of each set of equivalent atoms:
Bi  0.000  0.000  0.000 [1 per cell]
H  0.500  0.500  0.500 [1 per cell]
I  0.000  0.000  0.500 [3 per cell]

***

(2)
BiHI2O: single point on PBEsol structure, meta-GGA SCAN.

Output
**VASP energy**: -31.756 eV/atom

a = 5.964 Å, b = 5.964 Å, c = 4.139 Å
α = 90.00°, β = 90.00°, γ = 90.00°
Space group P4/mmm (No. 123)
One atom of each set of equivalent atoms:
Bi  0.000  0.000  0.000 [1 per cell]
H  0.000  0.000  0.500 [1 per cell]
I  0.000  0.500  0.000 [2 per cell]
O  0.500  0.500  0.500 [1 per cell]

***

(3)
BiHIO2: single point on PBEsol structure, meta-GGA SCAN.

Output
**VASP energy**: -25.956 eV/atom

a = 4.092 Å, b = 4.092 Å, c = 6.499 Å
α = 90.00°, β = 90.00°, γ = 90.00°
Space group P4/mmm (No. 123)
One atom of each set of equivalent atoms:
Bi  0.000  0.000  0.000 [1 per cell]
H  0.500  0.500  0.500 [1 per cell]
I  0.000  0.000  0.500 [1 per cell]
O  0.000  0.500  0.000 [2 per cell]

***

(4)
SnBiH2I: single point on PBEsol structure, meta-GGA SCAN.

Output
**VASP energy**: -30.997 eV/atom

a = 4.345 Å, b = 4.345 Å, c = 6.670 Å
α = 90.00°, β = 90.00°, γ = 90.00°
Space group P4/mmm (No. 123)
One atom of each set of equivalent atoms:
Sn  0.000  0.000  0.000 [1 per cell]
Bi  0.500  0.500  0.500 [1 per cell]
H  0.000  0.500  0.500 [2 per cell]
I  0.500  0.500  0.000 [1 per cell]

***

(5)
InBiH3: single point on PBEsol structure, meta-GGA SCAN.

Output
**VASP energy**: -23.854 eV/atom

a = 4.288 Å, b = 4.288 Å, c = 4.288 Å
α = 90.00°, β = 90.00°, γ = 90.00°
Space group Pm-3m (No. 221)
One atom of each set of equivalent atoms:
In  0.000  0.000  0.000 [1 per cell]
Bi  0.500  0.500  0.500 [1 per cell]
H  0.000  0.500  0.500 [3 per cell]

***

(6)
InSnBi2H: single point on PBEsol structure, meta-GGA SCAN.

Output
**VASP energy**: -45.729 eV/atom

a = 5.998 Å, b = 5.998 Å, c = 3.541 Å
α = 90.00°, β = 90.00°, γ = 90.00°
Space group P4/mmm (No. 123)
One atom of each set of equivalent atoms:
In  0.000  0.000  0.000 [1 per cell]
Sn  0.500  0.500  0.500 [1 per cell]
Bi  0.000  0.500  0.000 [2 per cell]
H  0.000  0.000  0.500 [1 per cell]

***

(7)
TlInBiH2: single point on PBEsol structure, meta-GGA SCAN.

Output
**VASP energy**: -37.939 eV/atom

a = 4.211 Å, b = 4.211 Å, c = 6.172 Å
α = 90.00°, β = 90.00°, γ = 90.00°
Space group P4/mmm (No. 123)
One atom of each set of equivalent atoms:
Tl  0.000  0.000  0.000 [1 per cell]
In  0.500  0.500  0.500 [1 per cell]
Bi  0.500  0.500  0.000 [1 per cell]
H  0.000  0.500  0.500 [2 per cell]

***

(8)
BiH2Ir: single point on PBEsol structure, meta-GGA SCAN.

Output
**VASP energy**: -37.963 eV/atom

a = 5.765 Å, b = 5.765 Å, c = 5.765 Å
α = 90.00°, β = 90.00°, γ = 90.00°
Space group Fm-3m (No. 225)
One atom of each set of equivalent atoms:
Bi  0.000  0.000  0.000 [4 per cell]
H  0.250  0.250  0.250 [8 per cell]
Ir  0.000  0.000  0.500 [4 per cell]

***

(9)
K2BiH2: single point on PBEsol structure, meta-GGA SCAN.

Output
**VASP energy**: -20.371 eV/atom

a = 7.640 Å, b = 7.640 Å, c = 3.713 Å
α = 90.00°, β = 90.00°, γ = 90.00°
Space group P4/mbm (No. 127)
One atom of each set of equivalent atoms:
K  0.148  0.352  0.000 [4 per cell]
Bi  0.000  0.000  0.500 [2 per cell]
H  0.171  0.671  0.500 [4 per cell]

***

(10)
La3BiH: single point on PBEsol structure, meta-GGA SCAN.

Output
**VASP energy**: -42.921 eV/atom

a = 5.013 Å, b = 5.013 Å, c = 5.013 Å
α = 90.00°, β = 90.00°, γ = 90.00°
Space group Pm-3m (No. 221)
One atom of each set of equivalent atoms:
La  0.000  0.000  0.500 [3 per cell]
Bi  0.500  0.500  0.500 [1 per cell]
H  0.000  0.000  0.000 [1 per cell]

***

(11)
LaBi3H: single point on PBEsol structure, meta-GGA SCAN.

Output
**VASP energy**: -56.667 eV/atom

a = 4.966 Å, b = 4.966 Å, c = 4.966 Å
α = 90.00°, β = 90.00°, γ = 90.00°
Space group Pm-3m (No. 221)
One atom of each set of equivalent atoms:
La  0.000  0.000  0.000 [1 per cell]
Bi  0.000  0.500  0.500 [3 per cell]
H  0.500  0.500  0.500 [1 per cell]

***

(12)
Li3BiH: single point on PBEsol structure, meta-GGA SCAN.

Output
**VASP energy**: -17.650 eV/atom

a = 5.334 Å, b = 5.334 Å, c = 5.334 Å
α = 90.00°, β = 90.00°, γ = 90.00°
Space group Pm-3m (No. 221)
One atom of each set of equivalent atoms:
Li  0.000  0.000  0.500 [3 per cell]
Bi  0.000  0.000  0.000 [1 per cell]
H  0.500  0.500  0.500 [1 per cell]